# 1
{
  "formula": "In2CoSi",
  "functional": "PBE",
  "state": "relaxed",
  "cell": [[4.8871, 0.0117, -0.0107], [-1.6146, 4.6127, -0.0107], [0.0068, 0.0097, 3.1645]],
  "species": ["Si", "In", "In", "Co"],
  "fractional_positions": [[0.5000, 0.0000, 0.5000], [0.0000, 0.0000, 0.0000], [0.5000, 0.5000, 0.0000], [0.0000, 0.5000, 0.5000]],
  "e_tot_ev_per_cell": -16.3,
  "n_ef_per_ev_cell": 2.95,
  "crystal_system": "orthorhombic",
  "sg": "No. 65",
  "magmom_total_mub_per_atom": 0.211
}

# 2
{
  "formula": "InCoSi2",
  "functional": "PBE",
  "state": "relaxed",
  "cell": [[-5.2635, -1.3970, -5.5804], [-4.1822, -4.2561, -5.0191], [-6.4116, -3.0563, -3.2166]],
  "species": ["Si", "Si", "In", "Co"],
  "fractional_positions": [[0.9886, 0.9886, 0.9886], [0.2423, 0.2423, 0.2423], [0.7566, 0.7566, 0.7566], [0.5125, 0.5125, 0.5125]],
  "e_tot_ev_per_cell": -19.9,
  "n_ef_per_ev_cell": 1.86,
  "crystal_system": "trigonal",
  "sg": "No. 160",
  "magmom_total_mub_per_atom": 0.071
}

# 3
{
  "formula": "InCo2Si",
  "functional": "PBE",
  "state": "relaxed",
  "cell": [[4.2901, 0.0000, 0.0000], [2.1451, 3.7154, 0.0000], [2.1451, 1.2385, 3.5029]],
  "species": ["In", "Co", "Co", "Si"],
  "fractional_positions": [[0.5000, 0.5000, 0.5000], [0.0000, 0.0000, 0.0000], [0.2500, 0.2500, 0.2500], [0.7500, 0.7500, 0.7500]],
  "e_tot_ev_per_cell": -20.7,
  "n_ef_per_ev_cell": 6.39,
  "crystal_system": "cubic",
  "sg": "No. 216",
  "magmom_total_mub_per_atom": 0.503
}

# 4
{
  "formula": "In2CoSi",
  "functional": "PBE",
  "state": "relaxed",
  "cell": [[3.6196, 0.0000, 0.0000], [0.0000, 3.5182, -0.0043], [0.0000, 3.5219, 5.5328]],
  "species": ["In", "In", "Co", "Si"],
  "fractional_positions": [[0.0000, 0.0072, 0.9933], [0.0000, 0.4928, 0.5067], [0.5000, 0.7500, 0.7500], [0.5000, 0.2500, 0.2500]],
  "e_tot_ev_per_cell": -16.3,
  "n_ef_per_ev_cell": 2.92,
  "crystal_system": "orthorhombic",
  "sg": "No. 47",
  "magmom_total_mub_per_atom": 0.000
}

# 5
{
  "formula": "InCo2Si",
  "functional": "PBE",
  "state": "relaxed",
  "cell": [[-0.7062, -6.4034, -1.2639], [5.5233, 0.0910, -3.5474], [3.8595, -3.7591, -0.1619]],
  "species": ["Co", "Co", "Co", "Co", "In", "In", "Si", "Si"],
  "fractional_positions": [[0.3750, 0.4333, 0.7500], [0.8750, 0.8167, 0.7500], [0.1833, 0.6250, 0.2500], [0.5667, 0.1250, 0.2500], [0.0000, 0.0000, 0.0000], [0.7500, 0.2500, 0.5000], [0.2500, 0.7500, 0.5000], [0.5000, 0.5000, 0.0000]],
  "e_tot_ev_per_cell": -43.2,
  "n_ef_per_ev_cell": 5.03,
  "crystal_system": "tetragonal",
  "sg": "No. 122",
  "magmom_total_mub_per_atom": 0.000
}

# 6
{
  "formula": "InCo2Si",
  "functional": "PBE",
  "state": "relaxed",
  "cell": [[4.3978, -0.0170, -0.0112], [0.6975, 4.3422, 0.0112], [-2.2243, -2.5436, 2.8150]],
  "species": ["Co", "Co", "Si", "In"],
  "fractional_positions": [[0.4593, 0.4593, 0.0000], [0.0407, 0.0407, 0.0000], [0.2500, 0.7500, 0.5000], [0.7500, 0.2500, 0.5000]],
  "e_tot_ev_per_cell": -22.5,
  "n_ef_per_ev_cell": 2.33,
  "crystal_system": "orthorhombic",
  "sg": "No. 71",
  "magmom_total_mub_per_atom": 0.000
}

# 7
{
  "formula": "InCo4Si",
  "functional": "PBE",
  "state": "relaxed",
  "cell": [[2.0420, 1.1852, 4.1993], [1.8690, 4.3976, 0.6133], [-2.1681, 3.1518, 2.9281]],
  "species": ["Co", "Co", "Co", "Co", "In", "Si"],
  "fractional_positions": [[0.8766, 0.3745, 0.3745], [0.3745, 0.3745, 0.3745], [0.3745, 0.8766, 0.3745], [0.3745, 0.3745, 0.8766], [0.7500, 0.7500, 0.7500], [0.0000, 0.0000, 0.0000]],
  "e_tot_ev_per_cell": -35.3,
  "n_ef_per_ev_cell": 9.20,
  "crystal_system": "cubic",
  "sg": "No. 216",
  "magmom_total_mub_per_atom": 1.067
}

# 8
{
  "formula": "InCo2Si",
  "functional": "PBE",
  "state": "relaxed",
  "cell": [[-3.7708, 1.0410, 1.5265], [-2.5384, 2.5123, -2.2084], [-3.4803, -1.5552, -1.7610]],
  "species": ["Si", "Co", "Co", "In"],
  "fractional_positions": [[0.0000, 0.0000, 0.0000], [0.7500, 0.7500, 0.7500], [0.2500, 0.2500, 0.2500], [0.5000, 0.5000, 0.5000]],
  "e_tot_ev_per_cell": -22.3,
  "n_ef_per_ev_cell": 1.56,
  "crystal_system": "cubic",
  "sg": "No. 225",
  "magmom_total_mub_per_atom": 0.309
}

# 9
{
  "formula": "In2CoSi",
  "functional": "PBE",
  "state": "relaxed",
  "cell": [[5.0515, 0.0538, -0.1526], [1.5581, 4.8055, 0.1526], [-3.2136, -2.5537, 2.9487]],
  "species": ["In", "In", "Co", "Si"],
  "fractional_positions": [[0.4998, 0.4998, 0.0000], [0.0002, 0.0002, 0.0000], [0.2500, 0.7500, 0.5000], [0.7500, 0.2500, 0.5000]],
  "e_tot_ev_per_cell": -16.2,
  "n_ef_per_ev_cell": 3.37,
  "crystal_system": "tetragonal",
  "sg": "No. 139",
  "magmom_total_mub_per_atom": 0.270
}

# 10
{
  "formula": "In2Co2Si",
  "functional": "PBE",
  "state": "relaxed",
  "cell": [[3.8743, 0.0000, 0.0000], [0.0000, 3.8743, 0.0000], [1.9372, 1.9372, 5.8777]],
  "species": ["In", "In", "Co", "Co", "Si"],
  "fractional_positions": [[0.7500, 0.2500, 0.5000], [0.2500, 0.7500, 0.5000], [0.4058, 0.4058, 0.1884], [0.5942, 0.5942, 0.8116], [0.0000, 0.0000, 0.0000]],
  "n_ef_per_ev_cell": 5.36,
  "crystal_system": "tetragonal",
  "sg": "No. 139",
  "magmom_total_mub_per_atom": 0.001,
  "relative_energy_ev_per_atom": 0.663
}

# 11
{
  "formula": "In2CoSi",
  "functional": "PBE",
  "state": "relaxed",
  "cell": [[8.5332, -0.0018, -0.0010], [7.9155, 3.1875, -0.0010], [7.9155, 1.5330, 2.7946]],
  "species": ["Co", "Si", "In", "In"],
  "fractional_positions": [[0.2378, 0.2378, 0.2378], [0.5220, 0.5220, 0.5220], [0.7568, 0.7568, 0.7568], [0.9834, 0.9834, 0.9834]],
  "e_tot_ev_per_cell": -17.5,
  "n_ef_per_ev_cell": 2.52,
  "crystal_system": "trigonal",
  "sg": "No. 160",
  "magmom_total_mub_per_atom": 0.000
}

# 12
{
  "formula": "InCoSi2",
  "functional": "PBE",
  "state": "relaxed",
  "cell": [[-2.4128, -1.9226, -1.3804], [2.2402, -0.8982, -2.6647], [2.9030, -4.8344, 1.6593]],
  "species": ["Si", "Si", "In", "Co"],
  "fractional_positions": [[0.5000, 0.4792, 0.1660], [0.0000, 0.9620, 0.1999], [0.5000, 0.7200, 0.6859], [0.0000, 0.3388, 0.4482]],
  "e_tot_ev_per_cell": -20.4,
  "n_ef_per_ev_cell": 2.26,
  "crystal_system": "monoclinic",
  "sg": "No. 6",
  "magmom_total_mub_per_atom": 0.000
}

# 13
{
  "formula": "In2CoSi",
  "functional": "PBE",
  "state": "relaxed",
  "cell": [[3.7973, 0.0000, 0.0000], [0.0000, 4.3308, 0.0000], [0.0000, 0.0000, 4.3308]],
  "species": ["Co", "In", "In", "Si"],
  "fractional_positions": [[0.5000, 0.0000, 0.5000], [0.0000, 0.0000, 0.0000], [0.0000, 0.5000, 0.5000], [0.5000, 0.5000, 0.0000]],
  "e_tot_ev_per_cell": -16.1,
  "n_ef_per_ev_cell": 2.99,
  "crystal_system": "tetragonal",
  "sg": "No. 123",
  "magmom_total_mub_per_atom": 0.000
}

# 14
{
  "formula": "InCo2Si2",
  "functional": "PBE",
  "state": "relaxed",
  "cell": [[7.1506, 0.0000, 0.0000], [0.0000, 7.1506, 0.0000], [0.0000, 0.0000, 2.6151]],
  "species": ["Co", "Co", "Co", "Co", "Si", "Si", "Si", "Si", "In", "In"],
  "fractional_positions": [[0.6618, 0.8382, 0.5000], [0.8382, 0.3382, 0.5000], [0.3382, 0.1618, 0.5000], [0.1618, 0.6618, 0.5000], [0.3743, 0.8743, 0.0000], [0.6257, 0.1257, 0.0000], [0.1257, 0.3743, 0.0000], [0.8743, 0.6257, 0.0000], [0.0000, 0.0000, 0.0000], [0.5000, 0.5000, 0.0000]],
  "e_tot_ev_per_cell": -56.0,
  "n_ef_per_ev_cell": 6.57,
  "crystal_system": "tetragonal",
  "sg": "No. 127",
  "magmom_total_mub_per_atom": 0.000
}

# 15
{
  "formula": "InCo2Si",
  "functional": "PBE",
  "state": "relaxed",
  "cell": [[3.6702, 0.0153, 0.0324], [2.6079, 2.5826, 0.0324], [1.9159, 0.7928, 6.4117]],
  "species": ["Co", "Co", "In", "Si"],
  "fractional_positions": [[0.4820, 0.4820, 0.4219], [0.0180, 0.0180, 0.0781], [0.7500, 0.7500, 0.7500], [0.2500, 0.2500, 0.2500]],
  "e_tot_ev_per_cell": -22.5,
  "n_ef_per_ev_cell": 3.38,
  "crystal_system": "monoclinic",
  "sg": "No. 12",
  "magmom_total_mub_per_atom": 0.077
}

# 16
{
  "formula": "In2CoSi",
  "functional": "PBE",
  "state": "relaxed",
  "cell": [[3.0019, 0.0092, 0.0000], [-0.0093, 3.0019, 0.0000], [0.0000, 0.0000, 7.9807]],
  "species": ["Co", "Si", "In", "In"],
  "fractional_positions": [[0.5000, 0.5000, 0.7500], [0.5000, 0.5000, 0.2500], [0.0000, 0.0000, 0.5379], [0.0000, 0.0000, 0.9621]],
  "e_tot_ev_per_cell": -16.5,
  "n_ef_per_ev_cell": 2.15,
  "crystal_system": "tetragonal",
  "sg": "No. 123",
  "magmom_total_mub_per_atom": 0.000
}

# 17
{
  "formula": "InCoSi2",
  "functional": "PBE",
  "state": "relaxed",
  "cell": [[2.8684, 0.0000, 0.0000], [0.0000, 2.8694, 0.0000], [0.0000, 0.0000, 7.7015]],
  "species": ["Si", "Si", "Co", "In"],
  "fractional_positions": [[0.0000, 0.0000, 0.0733], [0.0000, 0.0000, 0.4267], [0.5000, 0.5000, 0.2500], [0.5000, 0.5000, 0.7500]],
  "e_tot_ev_per_cell": -20.5,
  "n_ef_per_ev_cell": 2.25,
  "crystal_system": "tetragonal",
  "sg": "No. 123",
  "magmom_total_mub_per_atom": 0.088
}

# 18
{
  "formula": "In2CoSi",
  "functional": "PBE",
  "state": "relaxed",
  "cell": [[-2.5053, 0.4508, -1.5784], [-1.4955, -1.8073, 1.8575], [-1.8580, 6.4668, 4.7959]],
  "species": ["In", "In", "Si", "Co"],
  "fractional_positions": [[0.5000, 0.5000, 0.2897], [0.0000, 0.0000, 0.9378], [0.0000, 0.0000, 0.5731], [0.5000, 0.5000, 0.6994]],
  "e_tot_ev_per_cell": -17.8,
  "n_ef_per_ev_cell": 2.17,
  "crystal_system": "tetragonal",
  "sg": "No. 99",
  "magmom_total_mub_per_atom": 0.106
}

# 19
{
  "formula": "InCoSi2",
  "functional": "PBE",
  "state": "relaxed",
  "cell": [[4.7986, -0.0010, 0.0000], [1.5258, 4.5495, 0.0000], [-3.1622, -2.2743, 2.8026]],
  "species": ["In", "Si", "Si", "Co"],
  "fractional_positions": [[0.7500, 0.2500, 0.5000], [0.2500, 0.7500, 0.5000], [0.0000, 0.0000, 0.0000], [0.5000, 0.5000, 0.0000]],
  "e_tot_ev_per_cell": -18.8,
  "n_ef_per_ev_cell": 2.88,
  "crystal_system": "tetragonal",
  "sg": "No. 119",
  "magmom_total_mub_per_atom": 0.000
}

# 20
{
  "formula": "In2CoSi",
  "functional": "PBE",
  "state": "relaxed",
  "cell": [[9.6925, 0.0000, 0.0000], [0.0000, 9.6925, 0.0000], [4.8462, 4.8462, 2.1617]],
  "species": ["In", "In", "In", "In", "Co", "Co", "Si", "Si"],
  "fractional_positions": [[0.8752, 0.1250, 0.2500], [0.3750, 0.1248, 0.7500], [0.8748, 0.6250, 0.2500], [0.8750, 0.1252, 0.7500], [0.7500, 0.2500, 0.5000], [0.0000, 0.0000, 0.0000], [0.5000, 0.5000, 0.0000], [0.2500, 0.7500, 0.5000]],
  "e_tot_ev_per_cell": -35.2,
  "n_ef_per_ev_cell": 6.30,
  "crystal_system": "tetragonal",
  "sg": "No. 141",
  "magmom_total_mub_per_atom": 0.000
}

# 21
{
  "formula": "InCo2Si2",
  "functional": "PBE",
  "state": "relaxed",
  "cell": [[-2.2847, 2.4564, -6.1491], [-6.6118, -0.4932, 2.2596], [0.1401, 2.5491, 0.9663]],
  "species": ["In", "In", "Co", "Co", "Co", "Co", "Si", "Si", "Si", "Si"],
  "fractional_positions": [[0.5000, 0.5000, 0.0000], [0.0000, 0.0000, 0.0000], [0.6400, 0.1400, 0.0000], [0.3600, 0.8600, 0.0000], [0.1400, 0.3600, 0.0000], [0.8600, 0.6400, 0.0000], [0.3550, 0.1450, 0.5000], [0.1450, 0.6450, 0.5000], [0.6450, 0.8550, 0.5000], [0.8550, 0.3550, 0.5000]],
  "e_tot_ev_per_cell": -56.4,
  "n_ef_per_ev_cell": 5.91,
  "crystal_system": "tetragonal",
  "sg": "No. 127",
  "magmom_total_mub_per_atom": 0.000
}

# 22
{
  "formula": "InCoSi2",
  "functional": "PBE",
  "state": "relaxed",
  "cell": [[7.5605, -0.1456, -0.0864], [6.9124, 3.0662, -0.0864], [6.9124, 1.3949, 2.7319]],
  "species": ["Co", "In", "Si", "Si"],
  "fractional_positions": [[0.2500, 0.2500, 0.2500], [0.7500, 0.7500, 0.7500], [0.5238, 0.5238, 0.5238], [0.9762, 0.9762, 0.9762]],
  "e_tot_ev_per_cell": -20.1,
  "n_ef_per_ev_cell": 2.45,
  "crystal_system": "trigonal",
  "sg": "No. 166",
  "magmom_total_mub_per_atom": 0.000
}

# 23
{
  "formula": "InCoSi2",
  "functional": "PBE",
  "state": "relaxed",
  "cell": [[3.9255, 0.0000, 0.0000], [0.0000, 3.9639, 0.0007], [0.0000, 1.2462, 4.5030]],
  "species": ["In", "Si", "Si", "Co"],
  "fractional_positions": [[0.5000, 0.7500, 0.7500], [0.0000, 0.1968, 0.0118], [0.0000, 0.3032, 0.4882], [0.5000, 0.2500, 0.2500]],
  "e_tot_ev_per_cell": -20.2,
  "n_ef_per_ev_cell": 2.38,
  "crystal_system": "monoclinic",
  "sg": "No. 10",
  "magmom_total_mub_per_atom": 0.000
}

# 24
{
  "formula": "In2CoSi",
  "functional": "PBE",
  "state": "relaxed",
  "cell": [[-3.2766, 1.3234, -3.0777], [0.7414, -0.5517, -4.5941], [-2.4099, -3.2304, -2.3910]],
  "species": ["In", "In", "Co", "Si"],
  "fractional_positions": [[0.0000, 0.0000, 0.0000], [0.7500, 0.7500, 0.7500], [0.5000, 0.5000, 0.5000], [0.2500, 0.2500, 0.2500]],
  "e_tot_ev_per_cell": -15.7,
  "n_ef_per_ev_cell": 2.82,
  "crystal_system": "cubic",
  "sg": "No. 216",
  "magmom_total_mub_per_atom": 0.045
}

# 25
{
  "formula": "In2CoSi",
  "functional": "PBE",
  "state": "relaxed",
  "cell": [[4.9722, 0.0170, -0.0267], [4.1069, 2.8030, -0.0267], [2.4568, 0.7631, 5.6360]],
  "species": ["In", "In", "Si", "Co"],
  "fractional_positions": [[0.7706, 0.7706, 0.7495], [0.9313, 0.9313, 0.1292], [0.6063, 0.6063, 0.4651], [0.1918, 0.1918, 0.1562]],
  "e_tot_ev_per_cell": -17.5,
  "n_ef_per_ev_cell": 2.41,
  "crystal_system": "monoclinic",
  "sg": "No. 8",
  "magmom_total_mub_per_atom": 0.000
}

# 26
{
  "formula": "InCo3Si",
  "functional": "PBE",
  "state": "relaxed",
  "cell": [[-3.4723, 0.8819, 2.1848], [1.4872, -2.1975, 3.2507], [1.8274, 3.4643, 1.5059]],
  "species": ["In", "Co", "Co", "Co", "Si"],
  "fractional_positions": [[0.5000, 0.5000, 0.5000], [0.5000, 0.0000, 0.0000], [0.0000, 0.5000, 0.0000], [0.0000, 0.0000, 0.5000], [0.0000, 0.0000, 0.0000]],
  "n_ef_per_ev_cell": 4.41,
  "crystal_system": "cubic",
  "sg": "No. 221",
  "magmom_total_mub_per_atom": 0.359,
  "relative_energy_ev_per_atom": 0.000
}

# 27
{
  "formula": "SrInCo2Si",
  "functional": "PBE",
  "state": "relaxed",
  "cell": [[-3.2429, -2.0890, 2.8969], [1.4245, -5.2836, -2.2154], [3.3766, -0.5179, 3.4064]],
  "species": ["In", "Co", "Co", "Si", "Sr"],
  "fractional_positions": [[0.0000, 0.5000, 0.0000], [0.0000, 0.0000, 0.5000], [0.5000, 0.0000, 0.0000], [0.5000, 0.5000, 0.5000], [0.0000, 0.0000, 0.0000]],
  "e_tot_ev_per_cell": -14.1,
  "n_ef_per_ev_cell": 11.63,
  "crystal_system": "tetragonal",
  "sg": "No. 123",
  "magmom_total_mub_per_atom": 0.548
}

# 28
{
  "formula": "Sm5In2Co2",
  "functional": "PBE",
  "state": "relaxed",
  "cell": [[-4.1378, -5.7250, -2.3912], [-1.0034, -2.2605, 7.1483], [-8.9309, 1.8738, -0.6611]],
  "species": ["Sm", "Sm", "Sm", "Sm", "Sm", "Sm", "Sm", "Sm", "Sm", "Sm", "In", "In", "In", "In", "Co", "Co", "Co", "Co"],
  "fractional_positions": [[0.5676, 0.8179, 0.2338], [0.6986, 0.3179, 0.2338], [0.8014, 0.8179, 0.7662], [0.5000, 0.5000, 0.0000], [0.4324, 0.1821, 0.7662], [0.1986, 0.1821, 0.2338], [0.9324, 0.3179, 0.7662], [0.3014, 0.6821, 0.7662], [0.0000, 0.0000, 0.0000], [0.0676, 0.6821, 0.2338], [0.2737, 0.5000, 0.4525], [0.7737, 0.0000, 0.4525], [0.7263, 0.5000, 0.5475], [0.2263, 0.0000, 0.5475], [0.6088, 0.1081, 0.0000], [0.1088, 0.3919, 0.0000], [0.8912, 0.6081, 0.0000], [0.3912, 0.8919, 0.0000]],
  "n_ef_per_ev_cell": 13.38,
  "crystal_system": "orthorhombic",
  "delta_e_f_ev_per_atom": -0.21,
  "sg": "No. 64",
  "magmom_total_mub_per_atom": 0.000
}